{"formula": "La3OsAu2", "functional": "PBE-GGA", "state": "optimized geometry", "dft_energy_ev_per_atom": -5.94, "spacegroup": "P2/m", "magmom_total_mub_per_cell": 0.0, "vol_a3_per_cell": 306.65, "formation_energy_ev_per_atom": -0.513, "dos_ef_per_ev_atom": 0.69, "cell": [[-4.549, 0.303, -2.589], [-1.046, -6.859, -4.271], [-3.571, -3.134, 5.908]], "species": ["La", "La", "La", "La", "La", "La", "Os", "Os", "Au", "Au", "Au", "Au"], "fractional_positions": [[0.827, 0.347, 0.769], [0.500, 0.000, 0.233], [0.173, 0.653, 0.231], [0.827, 0.347, 0.231], [0.173, 0.653, 0.769], [0.500, 0.000, 0.767], [0.335, 0.335, 0.000], [0.665, 0.665, 0.000], [0.000, 0.000, 0.000], [0.000, 0.000, 0.500], [0.337, 0.324, 0.500], [0.663, 0.676, 0.500]]}